5
Lattice="-2.4041 2.8459 4.4064 2.4041 -2.8459 4.4064 2.4041 2.8459 -4.4064" Properties=species:S:1:pos:R:3 comment="Pu2Ag3, relaxed, DFT PBE" magnetic_moment_mub_per_cell=12.16 energy_ha_per_atom=-0.26972 pbc="T T T"
Pu 0.0000 0.0000 1.6714
Pu 0.0000 0.0000 7.1414
Ag 2.4041 1.3716 0.0000
Ag 0.0000 2.8459 0.0000
Ag 0.0000 1.4743 4.4064